PmMgCdCo | PBE | optimized geometry

* ρ: 6638 kg/m³
* total moment: 1.07 μB/cell
* calculated volume: 21.30 Å³ per atom
* calculated formation energy: 0.021 eV per atom

a = 4.9394 Å, b = 4.9394 Å, c = 4.9394 Å
α = 60.00°, β = 60.00°, γ = 60.00°
Last column: magnetic moment on the atom in μB.
Fractional coordinates of all 4 atoms:
Mg 0.0000 0.0000 0.0000  0.00
Cd 0.7500 0.7500 0.7500  0.00
Co 0.2500 0.2500 0.2500  1.24
Pm 0.5000 0.5000 0.5000  -0.07